Entry from Alexandria via LeMat-Bulk: an optimized crystal structure of BaPmIr (GGA-PBE).

Geometry as CIF:
```
data_BaPmIr
_symmetry_space_group_name_H-M 'P 3 m 1'
_symmetry_Int_Tables_number 156
_cell_length_a 4.3257
_cell_length_b 4.3257
_cell_length_c 6.9290
_cell_angle_alpha 90.00
_cell_angle_beta 90.00
_cell_angle_gamma 120.00
loop_
_symmetry_equiv_pos_as_xyz
'x,y,z'
'-y,x-y,z'
'-x+y,-x,z'
'-y,-x,z'
'-x+y,y,z'
'x,x-y,z'
loop_
_atom_site_label
_atom_site_type_symbol
_atom_site_fract_x
_atom_site_fract_y
_atom_site_fract_z
Ba1 Ba 0.0000 0.0000 0.0000
Pm1 Pm 0.6667 0.3333 0.5426
Ir1 Ir 0.3333 0.6667 0.7275
```

Summary:
**Fermi-level density of states**: 1.2 states/eV/cell
**V**: 37.4 A^3/atom
**Formation energy**: -0.29 eV/atom
**Polymorph energy (0 for the lowest one)**: 0.106 eV/atom
**VASP energy**: -5.472 eV per atom

***

Entry from Alexandria via LeMat-Bulk: an optimized crystal structure of SbTeF3 (GGA-PBE).

Geometry as CIF:
```
data_SbTeF3
_symmetry_space_group_name_H-M 'P m -3 m'
_symmetry_Int_Tables_number 221
_symmetry_space_group_name_Hall '-P 4 2 3'
_cell_length_a 4.590
_cell_length_b 4.590
_cell_length_c 4.590
_cell_angle_alpha 90.00
_cell_angle_beta 90.00
_cell_angle_gamma 90.00
loop_
_atom_site_label
_atom_site_type_symbol
_atom_site_fract_x
_atom_site_fract_y
_atom_site_fract_z
Sb1 Sb 0.000 0.000 0.000
Te1 Te 0.500 0.500 0.500
F1 F 0.000 0.000 0.500
```

Summary:
**Fermi-level density of states**: 2.5 states/eV/cell
**V**: 19.3 A^3/atom
**Polymorph energy (0 for the lowest one)**: 0.538 eV/atom
**VASP energy**: -3.837 eV per atom
**Uncorrected formation energy**: -121.72 kJ per mole of atoms

***

Entry from Alexandria via LeMat-Bulk: an optimized crystal structure of BTeRhAu (GGA-PBE).

Geometry as CIF:
```
data_BTeRhAu
_symmetry_space_group_name_H-M 'C 1 m 1'
_symmetry_Int_Tables_number 8
_cell_length_a 11.899
_cell_length_b 3.105
_cell_length_c 4.329
_cell_angle_alpha 90.00
_cell_angle_beta 110.55
_cell_angle_gamma 90.00
loop_
_symmetry_equiv_pos_as_xyz
'x,y,z'
'x,-y,z'
'x+1/2,y+1/2,z'
'x+1/2,-y+1/2,z'
loop_
_atom_site_label
_atom_site_type_symbol
_atom_site_fract_x
_atom_site_fract_y
_atom_site_fract_z
B1 B 0.000 0.000 0.000
Te1 Te 0.215 0.000 0.221
Rh1 Rh 0.379 0.000 0.882
Au1 Au 0.472 0.500 0.474
```

Summary:
**Fermi-level density of states**: 4.0 states/eV/cell
**V**: 18.7 A^3/atom
**Polymorph energy (0 for the lowest one)**: 0.033 eV/atom
**VASP energy**: -4.998 eV per atom
**Uncorrected formation energy**: 10.98 kJ per mole of atoms

***

Entry from Alexandria via LeMat-Bulk: an optimized crystal structure of LaCrCl2 (GGA-PBE).

Geometry as CIF:
```
data_LaCrCl2
_symmetry_space_group_name_H-M 'R -3 m'
_symmetry_Int_Tables_number 166
_symmetry_space_group_name_Hall '-R 3 2"'
_cell_length_a 3.6784
_cell_length_b 3.6784
_cell_length_c 26.8334
_cell_angle_alpha 90.00
_cell_angle_beta 90.00
_cell_angle_gamma 120.00
loop_
_atom_site_label
_atom_site_type_symbol
_atom_site_fract_x
_atom_site_fract_y
_atom_site_fract_z
La1 La 0.0000 0.0000 0.0000
Cr1 Cr 0.0000 0.0000 0.5000
Cl1 Cl 0.0000 0.0000 0.4104
```

Summary:
**Fermi-level density of states**: 6.2 states/eV/cell
**V**: 26.2 A^3/atom
**Polymorph energy (0 for the lowest one)**: 0.038 eV/atom
**VASP energy**: -5.405 eV per atom
**Uncorrected formation energy**: -81.48 kJ per mole of atoms

***

The lowest Fermi-level density of states belongs to which entry? BaPmIr

***

The highest V belongs to which entry? BaPmIr